Entry 1:
CsKS2Cl after structural relaxation. Source: Alexandria via LeMat-Bulk, functional PBE-GGA.

Results
For the uncorrected energy, the calculation gives -2.5035 eV/atom. For the raw formation energy, the calculation gives -9.0 kJ per mole of atoms.

Unit cell a=5.611 b=5.611 c=6.499 alpha=90.00 beta=90.00 gamma=90.00
Last column: magnetic moment on the atom in μB.
Fractional coordinates of all 5 atoms:
K  0.500  0.500  0.500  0.00
S  0.000  0.500  0.000  0.28
S  0.500  0.000  0.000  0.28
Cs  0.000  0.000  0.000  -0.01
Cl  0.000  0.000  0.500  0.09

=====

Entry 2:
SnBPd2Pt after structural relaxation. Source: Alexandria via LeMat-Bulk, functional PBE-GGA.

Results
For the uncorrected energy, the calculation gives -5.6515 eV/atom.

Unit cell a=4.303 b=4.303 c=4.223 alpha=90.00 beta=90.00 gamma=90.00
Fractional coordinates of all 5 atoms:
Pd  0.000  0.500  0.000
Pt  0.000  0.000  0.500
B  0.000  0.000  0.000
Sn  0.500  0.500  0.500
Pd  0.500  0.000  0.000